No. 1
Density functional theory data (PBE) for a relaxed Li2PdO3 crystal.

Summary:
As for the formation energy (no corrections): -1.20 eV/atom. Its relative energy among the computed polymorphs is 0.44 eV/f.u. As for the space-group type: C2/c (15). As for the calculated density: 4.964 Mg/m³. Its calculated total energy is -62.22 eV/cell.

a b c (Å): 5.1509 5.1509 5.2067
angles (deg): 100.30 100.30 119.37
Positions (direct):
Li 0.0904 0.9096 0.7500
Li 0.2512 0.7488 0.2500
Li 0.7488 0.2512 0.7500
Li 0.9096 0.0904 0.2500
Pd 0.4148 0.5852 0.7500
Pd 0.5852 0.4148 0.2500
O 0.0000 0.5000 0.5000
O 0.1960 0.3472 0.9956
O 0.3472 0.1960 0.4956
O 0.5000 0.0000 0.0000
O 0.6528 0.8040 0.5044
O 0.8040 0.6528 0.0044



No. 2
Density functional theory data (PBE) for a relaxed ZrCoB4 crystal.

Summary:
As for the space-group type: Pbam (55). The calculation puts the density of states at the Fermi level at 8.5 states/eV/cell. As for the calculated density: 6.058 Mg/m³. The calculation puts the energy relative to the elements at -634.8 meV per atom. Its calculated total energy is -184.69 eV/cell.

a b c (Å): 5.7921 11.2487 3.2544
angles (deg): 90.00 90.00 90.00
Positions (direct):
Zr 0.1275 0.1513 0.0000
Zr 0.3725 0.6513 0.0000
Zr 0.6275 0.3487 0.0000
Zr 0.8725 0.8487 0.0000
Co 0.1370 0.4108 0.0000
Co 0.3630 0.9108 0.0000
Co 0.6370 0.0892 0.0000
Co 0.8630 0.5892 0.0000
B 0.0230 0.6929 0.5000
B 0.1141 0.5471 0.5000
B 0.1334 0.9668 0.5000
B 0.2119 0.8131 0.5000
B 0.2881 0.3131 0.5000
B 0.3666 0.4668 0.5000
B 0.3859 0.0471 0.5000
B 0.4770 0.1929 0.5000
B 0.5230 0.8071 0.5000
B 0.6141 0.9529 0.5000
B 0.6334 0.5332 0.5000
B 0.7119 0.6869 0.5000
B 0.7881 0.1869 0.5000
B 0.8666 0.0332 0.5000
B 0.8859 0.4529 0.5000
B 0.9770 0.3071 0.5000



No. 3
Density functional theory data (PBE) for a relaxed Er2ScTl3Se6 crystal.

Summary:
As for the formation energy (no corrections): -1.34 eV/atom. As for the space-group type: C2/m (12). As for the calculated density: 7.199 Mg/m³. Its calculated total energy is -59.50 eV/cell.

a b c (Å): 7.0930 7.0930 8.1135
angles (deg): 98.38 98.38 119.97
Positions (direct):
Er 0.1665 0.8335 0.0000
Er 0.8335 0.1665 0.0000
Sc 0.5000 0.5000 0.0000
Tl 0.0000 0.0000 0.5000
Tl 0.3307 0.6693 0.5000
Tl 0.6693 0.3307 0.5000
Se 0.1106 0.4336 0.8012
Se 0.2438 0.2438 0.2015
Se 0.4336 0.1106 0.8012
Se 0.5664 0.8894 0.1988
Se 0.7562 0.7562 0.7985
Se 0.8894 0.5664 0.1988



No. 4
Density functional theory data (PBE) for a relaxed PuTlSn2 crystal.

Summary:
As for the space-group type: P4/mmm (123). The calculation puts the density of states at the Fermi level at 9.8 states/eV/cell. As for the calculated density: 10.474 Mg/m³. The calculation puts the energy relative to the elements at -91.0 meV per atom. Its calculated total energy is -25.07 eV/cell.

a b c (Å): 3.9857 3.9857 6.8446
angles (deg): 90.00 90.00 90.00
Positions (direct):
Pu 0.0000 0.0000 0.0000
Tl 0.0000 0.0000 0.5000
Sn 0.5000 0.5000 0.2610
Sn 0.5000 0.5000 0.7390



Copy entry 1 word for word.
Density functional theory data (PBE) for a relaxed Li2PdO3 crystal.

Summary:
As for the formation energy (no corrections): -1.20 eV/atom. Its relative energy among the computed polymorphs is 0.44 eV/f.u. As for the space-group type: C2/c (15). As for the calculated density: 4.964 Mg/m³. Its calculated total energy is -62.22 eV/cell.

a b c (Å): 5.1509 5.1509 5.2067
angles (deg): 100.30 100.30 119.37
Positions (direct):
Li 0.0904 0.9096 0.7500
Li 0.2512 0.7488 0.2500
Li 0.7488 0.2512 0.7500
Li 0.9096 0.0904 0.2500
Pd 0.4148 0.5852 0.7500
Pd 0.5852 0.4148 0.2500
O 0.0000 0.5000 0.5000
O 0.1960 0.3472 0.9956
O 0.3472 0.1960 0.4956
O 0.5000 0.0000 0.0000
O 0.6528 0.8040 0.5044
O 0.8040 0.6528 0.0044